Crystalline AcGe2IrPd2 at its relaxed geometry. Source: Alexandria, functional GGA-PBE.

a = 8.042 Å, b = 8.042 Å, c = 8.042 Å
α = 149.36°, β = 149.36°, γ = 43.88°
Fractional positions:
Ac 0.000 0.000 0.000
Ge 0.339 0.339 0.000
Ge 0.661 0.661 0.000
Ir 0.500 0.500 0.000
Pd 0.250 0.750 0.500
Pd 0.750 0.250 0.500

Values from the calculation:
Space-group type: I4/mmm

Crystalline AcGe2IrPd at its relaxed geometry. Source: Alexandria, functional GGA-PBE.

a = 6.128 Å, b = 6.128 Å, c = 6.128 Å
α = 137.78°, β = 137.78°, γ = 61.24°
Fractional positions:
Ac 0.000 0.000 0.000
Ge 0.368 0.368 0.000
Ge 0.632 0.632 0.000
Ir 0.250 0.750 0.500
Pd 0.750 0.250 0.500

Values from the calculation:
Space-group type: I-4m2

Crystalline Ac2Ge3Ir4Pd at its relaxed geometry. Source: Alexandria, functional GGA-PBE.

a = 4.302 Å, b = 4.302 Å, c = 10.750 Å
α = 90.00°, β = 90.00°, γ = 90.00°
Fractional positions:
Ac 0.000 0.500 0.245
Ac 0.500 0.000 0.755
Ge 0.000 0.000 0.000
Ge 0.000 0.500 0.623
Ge 0.500 0.000 0.377
Ir 0.000 0.000 0.500
Ir 0.000 0.500 0.855
Ir 0.500 0.000 0.145
Ir 0.500 0.500 0.500
Pd 0.500 0.500 0.000

Values from the calculation:
Space-group type: P-4m2

Crystalline Ac3Ge6IrPd2 at its relaxed geometry. Source: Alexandria, functional GGA-PBE.

a = 6.306 Å, b = 6.306 Å, c = 8.164 Å
α = 90.00°, β = 90.00°, γ = 120.00°
Fractional positions:
Ac 0.000 0.000 0.000
Ac 0.333 0.667 0.686
Ac 0.667 0.333 0.314
Ge 0.193 0.386 0.319
Ge 0.193 0.807 0.319
Ge 0.386 0.193 0.681
Ge 0.614 0.807 0.319
Ge 0.807 0.193 0.681
Ge 0.807 0.614 0.681
Ir 0.000 0.000 0.500
Pd 0.333 0.667 0.054
Pd 0.667 0.333 0.946

Values from the calculation:
Space-group type: P-3m1

Crystalline Ac2PmGe3Ir4 at its relaxed geometry. Source: Alexandria, functional GGA-PBE.

a = 4.313 Å, b = 4.313 Å, c = 11.468 Å
α = 90.00°, β = 90.00°, γ = 90.00°
Fractional positions:
Ac 0.000 0.500 0.233
Ac 0.500 0.000 0.767
Pm 0.000 0.000 0.500
Ge 0.000 0.500 0.883
Ge 0.500 0.000 0.117
Ge 0.500 0.500 0.500
Ir 0.000 0.000 0.000
Ir 0.000 0.500 0.664
Ir 0.500 0.000 0.336
Ir 0.500 0.500 0.000

Values from the calculation:
Space-group type: P-4m2

Crystalline AcPrGeIr at its relaxed geometry. Source: Alexandria, functional GGA-PBE.

a = 5.285 Å, b = 5.285 Å, c = 5.285 Å
α = 60.00°, β = 60.00°, γ = 60.00°
Fractional positions:
Ac 0.000 0.000 0.000
Pr 0.500 0.500 0.500
Ge 0.750 0.750 0.750
Ir 0.250 0.250 0.250

Values from the calculation:
ΔE to the lowest computed polymorph in meV per atom: 0
Space-group type: F-43m

Crystalline Ac2PrGe4Ir3 at its relaxed geometry. Source: Alexandria, functional GGA-PBE.

a = 4.441 Å, b = 4.441 Å, c = 11.325 Å
α = 90.00°, β = 90.00°, γ = 90.00°
Fractional positions:
Ac 0.000 0.500 0.226
Ac 0.500 0.000 0.774
Pr 0.000 0.000 0.500
Ge 0.000 0.000 0.000
Ge 0.000 0.500 0.672
Ge 0.500 0.000 0.328
Ge 0.500 0.500 0.000
Ir 0.000 0.500 0.891
Ir 0.500 0.000 0.109
Ir 0.500 0.500 0.500

Values from the calculation:
Space-group type: P-4m2

Crystalline AcPrGeIr at its relaxed geometry. Source: Alexandria, functional GGA-PBE.

a = 4.437 Å, b = 4.437 Å, c = 11.619 Å
α = 90.00°, β = 90.00°, γ = 90.00°
Fractional positions:
Ac 0.250 0.250 0.155
Ac 0.750 0.750 0.845
Pr 0.250 0.750 0.500
Pr 0.750 0.250 0.500
Ge 0.250 0.250 0.687
Ge 0.750 0.750 0.313
Ir 0.250 0.250 0.890
Ir 0.750 0.750 0.110

Values from the calculation:
ΔE to the lowest computed polymorph in meV per atom: 198
Space-group type: P4/nmm

Crystalline Ac2Ge4Ir3Pt at its relaxed geometry. Source: Alexandria, functional GGA-PBE.

a = 4.401 Å, b = 4.401 Å, c = 10.349 Å
α = 90.00°, β = 90.00°, γ = 90.00°
Fractional positions:
Ac 0.000 0.500 0.243
Ac 0.500 0.000 0.757
Ge 0.000 0.000 0.000
Ge 0.000 0.500 0.632
Ge 0.500 0.000 0.368
Ge 0.500 0.500 0.000
Ir 0.000 0.500 0.875
Ir 0.500 0.000 0.125
Ir 0.500 0.500 0.500
Pt 0.000 0.000 0.500

Values from the calculation:
Space-group type: P-4m2

Crystalline Ac2Ge3IrPt4 at its relaxed geometry. Source: Alexandria, functional GGA-PBE.

a = 4.454 Å, b = 4.454 Å, c = 10.429 Å
α = 90.00°, β = 90.00°, γ = 90.00°
Fractional positions:
Ac 0.000 0.500 0.245
Ac 0.500 0.000 0.755
Ge 0.000 0.000 0.000
Ge 0.000 0.500 0.623
Ge 0.500 0.000 0.377
Ir 0.500 0.500 0.000
Pt 0.000 0.000 0.500
Pt 0.000 0.500 0.862
Pt 0.500 0.000 0.138
Pt 0.500 0.500 0.500

Values from the calculation:
Space-group type: P-4m2

Crystalline Ac2Ge4IrPt3 at its relaxed geometry. Source: Alexandria, functional GGA-PBE.

a = 4.449 Å, b = 4.449 Å, c = 10.324 Å
α = 90.00°, β = 90.00°, γ = 90.00°
Fractional positions:
Ac 0.000 0.500 0.247
Ac 0.500 0.000 0.753
Ge 0.000 0.000 0.000
Ge 0.000 0.500 0.625
Ge 0.500 0.000 0.375
Ge 0.500 0.500 0.000
Ir 0.000 0.000 0.500
Pt 0.000 0.500 0.872
Pt 0.500 0.000 0.128
Pt 0.500 0.500 0.500

Values from the calculation:
Space-group type: P-4m2

Crystalline Ac2Ge3Ir4Pt at its relaxed geometry. Source: Alexandria, functional GGA-PBE.

a = 4.343 Å, b = 4.343 Å, c = 10.601 Å
α = 90.00°, β = 90.00°, γ = 90.00°
Fractional positions:
Ac 0.000 0.500 0.248
Ac 0.500 0.000 0.752
Ge 0.000 0.000 0.000
Ge 0.000 0.500 0.625
Ge 0.500 0.000 0.375
Ir 0.000 0.000 0.500
Ir 0.000 0.500 0.861
Ir 0.500 0.000 0.139
Ir 0.500 0.500 0.500
Pt 0.500 0.500 0.000

Values from the calculation:
Space-group type: P-4m2

Number 1: volume 22.448 Å³ per atom, ΔH_f (0 K) -327 kJ/mol of formula units. Number 2: volume 20.554 Å³ per atom, ΔH_f (0 K) -347 kJ/mol of formula units. Number 3: volume 19.897 Å³ per atom, ΔH_f (0 K) -630 kJ/mol of formula units. Number 4: volume 23.432 Å³ per atom, ΔH_f (0 K) -492 kJ/mol of formula units. Number 5: volume 21.337 Å³ per atom, ΔH_f (0 K) -704 kJ/mol of formula units. Number 6: volume 26.089 Å³ per atom, ΔH_f (0 K) -176 kJ/mol of formula units. Number 7: volume 22.336 Å³ per atom, ΔH_f (0 K) -642 kJ/mol of formula units. Number 8: volume 28.592 Å³ per atom, ΔH_f (0 K) -99 kJ/mol of formula units. Number 9: volume 20.048 Å³ per atom, ΔH_f (0 K) -738 kJ/mol of formula units. Number 10: volume 20.691 Å³ per atom, ΔH_f (0 K) -738 kJ/mol of formula units. Number 11: volume 20.434 Å³ per atom, ΔH_f (0 K) -852 kJ/mol of formula units. Number 12: volume 19.993 Å³ per atom, ΔH_f (0 K) -637 kJ/mol of formula units.